No. 1
The following is a DFT calculation (PBE) of a relaxed structure of Nd2Ho5Sc.

Space group: No. 12

abc: 5.017 11.141 9.340
angles: 83.41 105.58 90.00
Fractional coordinates of all 16 atoms:
Nd 0.123 0.378 0.747
Nd 0.624 0.878 0.747
Nd 0.877 0.622 0.253
Nd 0.376 0.122 0.253
Ho 0.686 0.563 0.871
Ho 0.250 0.750 0.000
Ho 0.750 0.250 0.000
Ho 0.061 0.689 0.622
Ho 0.939 0.311 0.378
Ho 0.561 0.189 0.622
Ho 0.439 0.811 0.378
Ho 0.314 0.437 0.129
Ho 0.186 0.063 0.871
Ho 0.814 0.937 0.129
Sc 0.000 0.000 0.500
Sc 0.500 0.500 0.500



No. 2
The following is a DFT calculation (PBE) of a relaxed structure of Nd4HoSc3.

Space group: No. 12

abc: 3.473 5.678 17.293
angles: 127.34 95.76 90.00
Fractional coordinates of all 8 atoms:
Sc 0.000 0.500 0.000
Sc 0.206 0.253 0.411
Sc 0.794 0.747 0.589
Nd 0.400 0.132 0.800
Nd 0.600 0.868 0.200
Nd 0.690 0.699 0.380
Nd 0.310 0.301 0.620
Ho 0.500 0.000 0.000



No. 3
The following is a DFT calculation (PBE) of a relaxed structure of Nd7HoSc4.

Space group: No. 2

abc: 7.116 6.174 11.276
angles: 79.48 50.84 89.95
Fractional coordinates of all 12 atoms:
Nd 0.733 0.503 0.010
Nd 0.267 0.497 0.990
Nd 0.085 0.288 0.660
Nd 0.915 0.712 0.340
Nd 0.335 0.777 0.664
Nd 0.500 0.000 0.000
Nd 0.665 0.223 0.336
Ho 0.000 0.000 0.000
Sc 0.404 0.729 0.337
Sc 0.596 0.271 0.663
Sc 0.843 0.787 0.658
Sc 0.157 0.213 0.342



No. 4
The following is a DFT calculation (PBE) of a relaxed structure of Nd15HoSc4.

Space group: No. 123

abc: 5.075 5.075 25.303
angles: 90.00 90.00 90.00
Fractional coordinates of all 20 atoms:
Nd 0.500 0.500 0.000
Nd 0.500 0.500 0.202
Nd 0.500 0.500 0.401
Nd 0.500 0.500 0.599
Nd 0.500 0.500 0.798
Nd 0.500 0.000 0.103
Nd 0.500 0.000 0.301
Nd 0.500 0.000 0.500
Nd 0.500 0.000 0.699
Nd 0.500 0.000 0.897
Nd 0.000 0.500 0.103
Nd 0.000 0.500 0.301
Nd 0.000 0.500 0.500
Nd 0.000 0.500 0.699
Nd 0.000 0.500 0.897
Ho 0.000 0.000 0.000
Sc 0.000 0.000 0.202
Sc 0.000 0.000 0.401
Sc 0.000 0.000 0.599
Sc 0.000 0.000 0.798



No. 5
The following is a DFT calculation (PBE) of a relaxed structure of Nd2HoSc2.

Space group: No. 74

abc: 5.508 6.812 9.236
angles: 111.64 107.35 90.00
Fractional coordinates of all 10 atoms:
Nd 0.627 0.377 0.754
Nd 0.997 0.747 0.494
Nd 0.003 0.253 0.506
Nd 0.373 0.623 0.246
Ho 0.375 0.125 0.249
Ho 0.625 0.875 0.751
Sc 0.807 0.301 0.114
Sc 0.807 0.812 0.114
Sc 0.193 0.188 0.886
Sc 0.193 0.699 0.886



No. 6
The following is a DFT calculation (PBE) of a relaxed structure of Nd2HoSc8.

Space group: No. 12

abc: 5.540 8.662 8.787
angles: 60.47 73.63 55.12
Fractional coordinates of all 11 atoms:
Nd 0.000 0.306 0.388
Nd 0.000 0.694 0.612
Ho 0.500 0.000 0.000
Sc 0.817 0.097 0.233
Sc 0.817 0.330 0.767
Sc 0.291 0.444 0.000
Sc 0.500 0.794 0.413
Sc 0.500 0.206 0.587
Sc 0.709 0.556 0.000
Sc 0.183 0.670 0.233
Sc 0.183 0.903 0.767



No. 7
The following is a DFT calculation (PBE) of a relaxed structure of Nd2Ho4Sc.

Space group: No. 139

abc: 5.351 5.351 9.441
angles: 106.46 106.46 90.00
Last column: magnetic moment on the atom in μB.
Fractional coordinates of all 7 atoms:
Nd 0.627 0.627 0.254  0.02
Nd 0.373 0.373 0.746  0.02
Ho 0.826 0.826 0.652  0.02
Ho 0.174 0.174 0.348  0.02
Ho 0.000 0.500 0.000  0.19
Ho 0.500 0.000 0.000  0.19
Sc 0.000 0.000 0.000  0.40



No. 8
The following is a DFT calculation (PBE) of a relaxed structure of Nd6HoSc.

Space group: No. 123

abc: 5.100 5.100 10.208
angles: 90.00 90.00 90.00
Fractional coordinates of all 8 atoms:
Nd 0.500 0.500 0.000
Nd 0.500 0.500 0.500
Nd 0.500 0.000 0.254
Nd 0.500 0.000 0.746
Nd 0.000 0.500 0.254
Nd 0.000 0.500 0.746
Ho 0.000 0.000 0.000
Sc 0.000 0.000 0.500



No. 9
The following is a DFT calculation (PBE) of a relaxed structure of Nd5Ho4Sc3.

Space group: No. 12

abc: 5.237 8.920 9.434
angles: 94.96 73.89 72.93
Fractional coordinates of all 12 atoms:
Nd 0.237 0.788 0.738
Nd 0.500 0.500 0.500
Nd 0.979 0.153 0.889
Nd 0.021 0.847 0.111
Nd 0.763 0.212 0.262
Ho 0.783 0.552 0.882
Ho 0.198 0.117 0.488
Ho 0.802 0.883 0.512
Ho 0.217 0.448 0.118
Sc 0.506 0.711 0.277
Sc 0.000 0.500 0.500
Sc 0.494 0.289 0.723



No. 10
The following is a DFT calculation (PBE) of a relaxed structure of Nd7Ho12Sc.

Space group: No. 229

abc: 9.768 9.768 9.768
angles: 109.47 109.47 109.47
Fractional coordinates of all 20 atoms:
Nd 0.500 0.500 0.000
Nd 0.000 0.500 0.500
Nd 0.500 0.000 0.500
Nd 0.500 0.500 0.500
Nd 0.000 0.000 0.500
Nd 0.500 0.000 0.000
Nd 0.000 0.500 0.000
Ho 0.517 0.758 0.759
Ho 0.000 0.758 0.241
Ho 0.483 0.242 0.241
Ho 0.000 0.242 0.759
Ho 0.759 0.000 0.242
Ho 0.759 0.517 0.758
Ho 0.241 0.000 0.758
Ho 0.241 0.483 0.242
Ho 0.758 0.759 0.517
Ho 0.242 0.241 0.483
Ho 0.758 0.241 0.000
Ho 0.242 0.759 0.000
Sc 0.000 0.000 0.000



No. 11
The following is a DFT calculation (PBE) of a relaxed structure of Nd3Ho4Sc.

Space group: No. 71

abc: 3.483 11.607 8.804
angles: 131.20 101.41 90.00
Fractional coordinates of all 8 atoms:
Sc 0.500 0.000 0.000
Nd 0.000 0.500 0.000
Nd 0.760 0.760 0.520
Nd 0.240 0.240 0.480
Ho 0.634 0.376 0.267
Ho 0.366 0.624 0.733
Ho 0.366 0.108 0.733
Ho 0.634 0.892 0.267



No. 12
The following is a DFT calculation (PBE) of a relaxed structure of Nd7Ho12Sc.

Space group: No. 148

abc: 8.751 8.751 8.751
angles: 85.77 85.77 85.77
Fractional coordinates of all 20 atoms:
Nd 0.846 0.601 0.916
Nd 0.399 0.084 0.154
Nd 0.084 0.154 0.399
Nd 0.500 0.500 0.500
Nd 0.916 0.846 0.601
Nd 0.601 0.916 0.846
Nd 0.154 0.399 0.084
Ho 0.856 0.244 0.734
Ho 0.756 0.266 0.144
Ho 0.613 0.137 0.499
Ho 0.863 0.501 0.387
Ho 0.266 0.144 0.756
Ho 0.501 0.387 0.863
Ho 0.499 0.613 0.137
Ho 0.734 0.856 0.244
Ho 0.137 0.499 0.613
Ho 0.387 0.863 0.501
Ho 0.244 0.734 0.856
Ho 0.144 0.756 0.266
Sc 0.000 0.000 0.000



No. 13
The following is a DFT calculation (PBE) of a relaxed structure of Nd3Ho2Sc.

Space group: No. 2

abc: 6.164 9.397 10.671
angles: 129.11 125.01 77.53
Fractional coordinates of all 12 atoms:
Nd 0.038 0.364 0.078
Nd 0.962 0.636 0.922
Nd 0.709 0.373 0.416
Nd 0.291 0.627 0.584
Nd 0.627 0.628 0.254
Nd 0.373 0.372 0.746
Ho 0.540 0.883 0.088
Ho 0.460 0.117 0.912
Ho 0.212 0.880 0.419
Ho 0.788 0.120 0.581
Sc 0.121 0.120 0.244
Sc 0.879 0.880 0.756



No. 14
The following is a DFT calculation (PBE) of a relaxed structure of NdHo4Sc.

Space group: No. 12

abc: 3.423 5.888 10.022
angles: 85.95 80.17 73.10
Fractional coordinates of all 6 atoms:
Nd 0.500 0.500 0.500
Ho 0.656 0.538 0.150
Ho 0.344 0.462 0.850
Ho 0.153 0.031 0.664
Ho 0.847 0.969 0.336
Sc 0.000 0.000 0.000



No. 15
The following is a DFT calculation (PBE) of a relaxed structure of Nd5HoSc.

Space group: No. 71

abc: 5.824 7.979 7.979
angles: 66.00 68.60 68.60
Fractional coordinates of all 7 atoms:
Nd 0.755 0.245 0.245
Nd 0.000 0.318 0.682
Nd 0.500 0.000 0.000
Nd 0.000 0.682 0.318
Nd 0.245 0.755 0.755
Ho 0.500 0.500 0.500
Sc 0.000 0.000 0.000



No. 16
The following is a DFT calculation (PBE) of a relaxed structure of Nd12Ho7Sc.

Space group: No. 148

abc: 9.389 9.389 9.389
angles: 107.78 107.78 107.78
Fractional coordinates of all 20 atoms:
Nd 0.781 0.323 0.618
Nd 0.677 0.382 0.219
Nd 0.404 0.057 0.295
Nd 0.943 0.705 0.596
Nd 0.382 0.219 0.677
Nd 0.705 0.596 0.943
Nd 0.295 0.404 0.057
Nd 0.618 0.781 0.323
Nd 0.057 0.295 0.404
Nd 0.596 0.943 0.705
Nd 0.323 0.618 0.781
Nd 0.219 0.677 0.382
Ho 0.101 0.686 0.994
Ho 0.314 0.006 0.899
Ho 0.006 0.899 0.314
Ho 0.500 0.500 0.500
Ho 0.994 0.101 0.686
Ho 0.686 0.994 0.101
Ho 0.899 0.314 0.006
Sc 0.000 0.000 0.000



No. 17
The following is a DFT calculation (PBE) of a relaxed structure of Nd2Ho2Sc5.

Space group: No. 46

abc: 8.455 10.422 8.926
angles: 125.72 118.27 90.00
Fractional coordinates of all 18 atoms:
Nd 0.000 0.047 0.000
Nd 0.500 0.547 0.000
Nd 0.352 0.408 0.500
Nd 0.648 0.908 0.500
Ho 0.231 0.577 0.211
Ho 0.769 0.367 0.789
Ho 0.480 0.077 0.211
Ho 0.520 0.867 0.789
Sc 0.197 0.687 0.795
Sc 0.803 0.893 0.205
Sc 0.098 0.187 0.795
Sc 0.902 0.393 0.205
Sc 0.190 0.903 0.250
Sc 0.810 0.653 0.750
Sc 0.560 0.403 0.250
Sc 0.440 0.153 0.750
Sc 0.051 0.801 0.500
Sc 0.949 0.301 0.500



No. 18
The following is a DFT calculation (PBE) of a relaxed structure of Nd14HoSc.

Space group: No. 123

abc: 7.294 7.294 10.298
angles: 90.00 90.00 89.99
Fractional coordinates of all 16 atoms:
Nd 0.375 0.625 0.500
Nd 0.875 0.125 0.500
Nd 0.875 0.625 0.000
Nd 0.875 0.625 0.500
Nd 0.375 0.125 0.000
Nd 0.375 0.125 0.500
Nd 0.627 0.877 0.755
Nd 0.627 0.877 0.245
Nd 0.123 0.373 0.755
Nd 0.123 0.373 0.245
Nd 0.123 0.877 0.755
Nd 0.123 0.877 0.245
Nd 0.627 0.373 0.755
Nd 0.627 0.373 0.245
Ho 0.375 0.625 0.000
Sc 0.875 0.125 0.000



No. 19
The following is a DFT calculation (PBE) of a relaxed structure of Nd3HoSc2.

Space group: No. 63

abc: 5.524 8.761 8.761
angles: 112.06 90.00 90.00
Fractional coordinates of all 12 atoms:
Nd 0.993 0.890 0.379
Nd 0.493 0.621 0.110
Nd 0.993 0.379 0.890
Nd 0.493 0.110 0.621
Nd 0.493 0.908 0.908
Nd 0.993 0.092 0.092
Ho 0.993 0.721 0.721
Ho 0.493 0.279 0.279
Sc 0.493 0.696 0.490
Sc 0.993 0.510 0.304
Sc 0.493 0.490 0.696
Sc 0.993 0.304 0.510



Number 1: ΔH_f (0 K) 36 meV per atom. Number 2: ΔH_f (0 K) 295 meV per atom. Number 3: ΔH_f (0 K) 39 meV per atom. Number 4: ΔH_f (0 K) 29 meV per atom. Number 5: ΔH_f (0 K) 131 meV per atom. Number 6: ΔH_f (0 K) 155 meV per atom. Number 7: ΔH_f (0 K) 556 meV per atom. Number 8: ΔH_f (0 K) 27 meV per atom. Number 9: ΔH_f (0 K) 393 meV per atom. Number 10: ΔH_f (0 K) 679 meV per atom. Number 11: ΔH_f (0 K) 133 meV per atom. Number 12: ΔH_f (0 K) 234 meV per atom. Number 13: ΔH_f (0 K) 41 meV per atom. Number 14: ΔH_f (0 K) 202 meV per atom. Number 15: ΔH_f (0 K) 901 meV per atom. Number 16: ΔH_f (0 K) 153 meV per atom. Number 17: ΔH_f (0 K) 201 meV per atom. Number 18: ΔH_f (0 K) 22 meV per atom. Number 19: ΔH_f (0 K) 265 meV per atom.